Entry 1:
An optimized crystal structure of FeS, computed with PBE.

For the energy relative to the elements, uncorrected, the calculation gives -260 meV per atom. The crystal system is hexagonal.

It has space group P6_3mc (No. 186), with a = 3.4576 Å, b = 3.4576 Å, c = 11.7279 Å, α = 90.00°, β = 90.00° and γ = 120.00°. The distinct sites, in fractional coordinates, are Fe at (0.0000, 0.0000, 0.0000), Fe at (0.3333, 0.6667, 0.2611), S at (0.0000, 0.0000, 0.3176) and S at (0.3333, 0.6667, 0.0748).

Entry 2:
An optimized crystal structure of Tb2YCd3, computed with PBE.

As for the total energy: -0.2507 Ry/atom. The crystal system is trigonal.

It has space group P-3m1 (No. 164), with a = 5.3081 Å, b = 5.3081 Å, c = 6.5167 Å, α = 90.00°, β = 90.00° and γ = 120.00°. The distinct sites, in fractional coordinates, are Tb at (0.3333, 0.6667, 0.1678), Y at (0.0000, 0.0000, 0.5000), Cd at (0.0000, 0.0000, 0.0000) and Cd at (0.3333, 0.6667, 0.6676).

Entry 3:
An optimized crystal structure of NaSr2LiRh, computed with PBE.

The crystal system is tetragonal. For the polymorph energy (0 for the lowest one), the calculation gives 0.000 eV per atom.

It has space group P4/mmm (No. 123), with a = 5.811 Å, b = 5.811 Å, c = 5.118 Å, α = 90.00°, β = 90.00° and γ = 90.00°. The distinct sites, in fractional coordinates, are Na at (0.000, 0.000, 0.000), Sr at (0.000, 0.500, 0.500), Li at (0.500, 0.500, 0.000) and Rh at (0.500, 0.500, 0.500).

Entry 4:
An optimized crystal structure of NaTlSb, computed with PBE.

For the energy relative to the elements, uncorrected, the calculation gives -211 meV per atom. The crystal system is monoclinic. For the polymorph energy (0 for the lowest one), the calculation gives 0.000 eV per atom.

It has space group C2/m (No. 12), with a = 10.900 Å, b = 5.455 Å, c = 7.354 Å, α = 90.00°, β = 124.01° and γ = 90.00°. The distinct sites, in fractional coordinates, are Na at (0.193, 0.000, 0.296), Tl at (0.153, 0.000, 0.754) and Sb at (0.009, 0.500, 0.806).

Entry 5:
An optimized crystal structure of La2HPtO6, computed with PBE.

As for the total energy: -0.4869 Ry/atom. The crystal system is monoclinic.

It has space group C2/m (No. 12), with a = 9.945 Å, b = 5.205 Å, c = 5.391 Å, α = 90.00°, β = 120.15° and γ = 90.00°. The distinct sites, in fractional coordinates, are La at (0.239, 0.000, 0.224), H at (0.000, 0.500, 0.000), Pt at (0.000, 0.000, 0.500), O at (0.049, 0.263, 0.808) and O at (0.233, 0.000, 0.657).

Entry 6:
An optimized crystal structure of CrCo2RuW, computed with PBE.

As for the total energy: -0.5446 Ry/atom. The crystal system is tetragonal.

It has space group P4/mmm (No. 123), with a = 4.390 Å, b = 4.390 Å, c = 4.502 Å, α = 90.00°, β = 90.00° and γ = 90.00°. The distinct sites, in fractional coordinates, are Cr at (0.000, 0.000, 0.000), Co at (0.000, 0.500, 0.500), Ru at (0.500, 0.500, 0.000) and W at (0.000, 0.000, 0.500).

Entry 7:
An optimized crystal structure of ZnTeSe2, computed with PBE.

For the energy relative to the elements, uncorrected, the calculation gives -81 meV per atom. The crystal system is tetragonal. For the polymorph energy (0 for the lowest one), the calculation gives 0.043 eV per atom.

It has space group I4/mmm (No. 139), with a = 5.654 Å, b = 5.654 Å, c = 5.918 Å, α = 90.00°, β = 90.00° and γ = 90.00°. The distinct sites, in fractional coordinates, are Zn at (0.000, 0.000, 0.000), Te at (0.000, 0.000, 0.500) and Se at (0.000, 0.500, 0.000).

Entry 8:
An optimized crystal structure of TiCdCoRh, computed with PBE.

As for the total energy: -0.4474 Ry/atom. The crystal system is cubic.

It has space group F-43m (No. 216), with a = 6.190 Å, b = 6.190 Å, c = 6.190 Å, α = 90.00°, β = 90.00° and γ = 90.00°. The distinct sites, in fractional coordinates, are Ti at (0.000, 0.000, 0.000), Cd at (0.000, 0.000, 0.500), Co at (0.250, 0.250, 0.750) and Rh at (0.250, 0.250, 0.250).

Entry 9:
An optimized crystal structure of PmMg3Co, computed with PBE.

As for the total energy: -0.2375 Ry/atom. The crystal system is cubic.

It has space group Pm-3m (No. 221), with a = 4.846 Å, b = 4.846 Å, c = 4.846 Å, α = 90.00°, β = 90.00° and γ = 90.00°. The distinct sites, in fractional coordinates, are Pm at (0.000, 0.000, 0.000), Mg at (0.000, 0.500, 0.500) and Co at (0.500, 0.500, 0.500).

Entry 10:
An optimized crystal structure of CsRb2NaSe, computed with PBE.

For the energy relative to the elements, uncorrected, the calculation gives -483 meV per atom. The crystal system is tetragonal. For the polymorph energy (0 for the lowest one), the calculation gives 0.075 eV per atom.

It has space group P4/mmm (No. 123), with a = 7.035 Å, b = 7.035 Å, c = 5.899 Å, α = 90.00°, β = 90.00° and γ = 90.00°. The distinct sites, in fractional coordinates, are Cs at (0.000, 0.000, 0.000), Rb at (0.000, 0.500, 0.500), Na at (0.500, 0.500, 0.000) and Se at (0.500, 0.500, 0.500).

Entry 11:
An optimized crystal structure of La3In, computed with PBE.

The crystal system is tetragonal. For the polymorph energy (0 for the lowest one), the calculation gives 0.016 eV per atom.

It has space group I4/mmm (No. 139), with a = 4.988 Å, b = 4.988 Å, c = 10.384 Å, α = 90.00°, β = 90.00° and γ = 90.00°. The distinct sites, in fractional coordinates, are La at (0.000, 0.000, 0.000), La at (0.000, 0.500, 0.250) and In at (0.000, 0.000, 0.500).

Entry 12:
An optimized crystal structure of CrCuSN2, computed with PBE.

For the energy relative to the elements, uncorrected, the calculation gives 1311 meV per atom. The crystal system is tetragonal. For the polymorph energy (0 for the lowest one), the calculation gives 0.814 eV per atom.

It has space group P4/mmm (No. 123), with a = 3.697 Å, b = 3.697 Å, c = 4.969 Å, α = 90.00°, β = 90.00° and γ = 90.00°. The distinct sites, in fractional coordinates, are Cr at (0.000, 0.000, 0.000), Cu at (0.500, 0.500, 0.500), S at (0.500, 0.500, 0.000) and N at (0.000, 0.500, 0.500).

Entry 13:
An optimized crystal structure of Sc2AgAu, computed with PBE.

The crystal system is tetragonal. For the polymorph energy (0 for the lowest one), the calculation gives 0.122 eV per atom.

It has space group P4mm (No. 99), with a = 3.610 Å, b = 3.610 Å, c = 6.265 Å, α = 90.00°, β = 90.00° and γ = 90.00°. The distinct sites, in fractional coordinates, are Sc at (0.000, 0.000, 0.000), Sc at (0.500, 0.500, 0.319), Ag at (0.000, 0.000, 0.532) and Au at (0.500, 0.500, 0.799).

Entry 14:
An optimized crystal structure of LiInAg, computed with PBE.

As for the total energy: -0.2011 Ry/atom. The crystal system is orthorhombic.

It has space group Imm2 (No. 44), with a = 3.451 Å, b = 3.502 Å, c = 9.167 Å, α = 90.00°, β = 90.00° and γ = 90.00°. The distinct sites, in fractional coordinates, are Li at (0.000, 0.000, 0.000), In at (0.000, 0.000, 0.328) and Ag at (0.000, 0.000, 0.646).

Entry 15:
An optimized crystal structure of BaLi6Hg12, computed with PBE.

As for the total energy: -0.0855 Ry/atom. The crystal system is trigonal.

It has space group R-3m (No. 166, hexagonal axes), with a = 12.7594 Å, b = 12.7594 Å, c = 9.4505 Å, α = 90.00°, β = 90.00° and γ = 120.00°. The distinct sites, in fractional coordinates, are Ba at (0.0000, 0.0000, 0.0000), Li at (0.0513, 0.5256, 0.2523), Hg at (0.0000, 0.3817, 0.5000) and Hg at (0.0855, 0.1709, 0.3193).

Entry 16:
An optimized crystal structure of Ca5W, computed with PBE.

The crystal system is cubic. For the polymorph energy (0 for the lowest one), the calculation gives 0.424 eV per atom.

It has space group F-43m (No. 216), with a = 9.443 Å, b = 9.443 Å, c = 9.443 Å, α = 90.00°, β = 90.00° and γ = 90.00°. The distinct sites, in fractional coordinates, are Ca at (0.000, 0.000, 0.000), Ca at (0.124, 0.124, 0.624) and W at (0.250, 0.250, 0.250).

Entry 17:
An optimized crystal structure of LiScOs2, computed with PBE.

The crystal system is tetragonal. For the polymorph energy (0 for the lowest one), the calculation gives 0.160 eV per atom.

It has space group I4/mmm (No. 139), with a = 3.778 Å, b = 3.778 Å, c = 8.551 Å, α = 90.00°, β = 90.00° and γ = 90.00°. The distinct sites, in fractional coordinates, are Li at (0.000, 0.000, 0.000), Sc at (0.000, 0.000, 0.500) and Os at (0.000, 0.500, 0.250).

Entry 18:
An optimized crystal structure of Mg3Sc2Cd2, computed with PBE.

The crystal system is orthorhombic. For the polymorph energy (0 for the lowest one), the calculation gives 0.000 eV per atom.

It has space group Cmmm (No. 65), with a = 4.750 Å, b = 21.024 Å, c = 3.189 Å, α = 90.00°, β = 90.00° and γ = 90.00°. The distinct sites, in fractional coordinates, are Mg at (0.000, 0.000, 0.000), Mg at (0.000, 0.426, 0.500), Sc at (0.000, 0.155, 0.000) and Cd at (0.000, 0.288, 0.500).

Entry 19:
An optimized crystal structure of YPdSe2N, computed with PBE.

For the energy relative to the elements, uncorrected, the calculation gives -175 meV per atom. The crystal system is tetragonal. For the polymorph energy (0 for the lowest one), the calculation gives 0.000 eV per atom.

It has space group P4/mmm (No. 123), with a = 5.134 Å, b = 5.134 Å, c = 3.810 Å, α = 90.00°, β = 90.00° and γ = 90.00°. The distinct sites, in fractional coordinates, are Y at (0.000, 0.000, 0.000), Pd at (0.500, 0.500, 0.500), Se at (0.000, 0.500, 0.500) and N at (0.500, 0.500, 0.000).

Entry 20:
An optimized crystal structure of TmPa2Ir2, computed with PBE.

As for the total energy: -0.6604 Ry/atom. The crystal system is tetragonal.

It has space group P4/mbm (No. 127), with a = 7.781 Å, b = 7.781 Å, c = 3.687 Å, α = 90.00°, β = 90.00° and γ = 90.00°. The distinct sites, in fractional coordinates, are Tm at (0.000, 0.000, 0.000), Pa at (0.169, 0.331, 0.500) and Ir at (0.136, 0.636, 0.000).